Compound: Co2CuS6
Source: the Open Quantum Materials Database
Functional: GGA-PBE
Structure: optimized geometry

Summary:
Energy above the lowest structure with this stoichiometry: 0 meV per atom
Final energy: -5.004 eV per atom
Total magnetic moment: 1.13 μB per formula unit

Cell lengths 5.5544, 5.5584, 16.7882 Å; angles 90.35, 90.07, 90.05 degrees
Last column: nearest neighbours and their distance in Å.
Space group P-1 (No. 2)
Symmetry-distinct sites (fractional):
1 Co 0.0000 0.0000 0.0000 x1  6 S 2.29-2.33
2 Co 0.0000 0.9996 0.3303 x2  6 S 2.28-2.34
3 Co 0.9998 0.5000 0.1644 x2  6 S 2.28-2.35
4 Co 0.4962 0.5026 0.3298 x2  6 S 2.27-2.34
5 Co 0.5000 0.5000 0.0000 x1  6 S 2.28-2.32
6 Cu 0.0000 0.5000 0.5000 x1  6 S 2.37-2.48
7 Cu 0.5000 0.0000 0.5000 x1  6 S 2.38-2.48
8 Cu 0.5004 0.0005 0.8342 x2  6 S 2.42-2.43
9 S 0.0954 0.8854 0.2029 x2  1 S 2.11, 2 Co 2.29-2.30
10 S 0.0969 0.8832 0.8732 x2  1 S 2.11, 2 Co 2.28-2.29
11 S 0.0991 0.8981 0.5398 x2  1 S 2.07, 1 Co 2.32
12 S 0.1132 0.6107 0.7059 x2  1 S 2.15, 3 Co 2.34-2.35
13 S 0.1136 0.6134 0.0374 x2  1 S 2.18, 3 Co 2.32-2.33
14 S 0.1173 0.6199 0.3632 x2  1 S 2.15, 2 Co 2.27-2.28
15 S 0.3824 0.1197 0.3631 x2  1 S 2.12, 2 Co 2.29
16 S 0.3837 0.1137 0.7006 x2  1 S 2.12, 2 Co 2.28-2.29
17 S 0.3838 0.1156 0.0319 x2  1 S 2.11, 2 Co 2.29-2.30
18 S 0.3841 0.4033 0.8733 x2  1 S 2.11, 2 Co 2.28-2.29
19 S 0.3854 0.4038 0.2032 x2  1 S 2.11, 2 Co 2.28-2.30
20 S 0.4011 0.3990 0.5400 x2  1 S 2.07, 1 Co 2.32

***

Compound: Co2CuS6
Source: the Open Quantum Materials Database
Functional: GGA-PBE
Structure: optimized geometry

Summary:
Energy above the lowest structure with this stoichiometry: 3 meV per atom
Final energy: -5.001 eV per atom
Total magnetic moment: 1.16 μB per formula unit

Cell lengths 5.5489, 5.5566, 16.7471 Å; angles 89.88, 89.74, 89.97 degrees
Last column: nearest neighbours and their distance in Å.
Space group P1 (No. 1)
Symmetry-distinct sites (fractional):
1 Co 0.0000 0.0000 0.0000 x1  6 S 2.28-2.35
2 Co 0.0008 0.0077 0.3352 x1  6 S 2.24-2.33
3 Co 0.4971 0.5048 0.9993 x1  6 S 2.28-2.35
4 Co 0.4992 0.0087 0.8381 x1  6 S 2.27-2.34
5 Co 0.5003 0.0024 0.1652 x1  6 S 2.24-2.33
6 Co 0.5020 0.0049 0.4989 x1  6 S 2.28-2.33
7 Co 0.9980 0.4995 0.8372 x1  6 S 2.26-2.36
8 Co 0.9989 0.5098 0.4994 x1  6 S 2.26-2.35
9 Cu 0.0005 0.0049 0.6677 x1  6 S 2.37-2.46
10 Cu 0.9996 0.5042 0.1675 x1  6 S 2.39-2.43
11 Cu 0.4994 0.5054 0.6684 x1  6 S 2.37-2.46
12 Cu 0.5001 0.5047 0.3328 x1  6 S 2.38-2.44
13 S 0.0965 0.6174 0.3723 x1  1 S 2.08, 2 Co 2.27-2.32
14 S 0.1012 0.6044 0.7081 x1  1 S 2.07, 1 Co 2.31
15 S 0.1122 0.1167 0.4631 x1  1 S 2.14, 3 Co 2.31-2.35
16 S 0.1161 0.1006 0.1282 x1  1 S 2.12, 2 Co 2.29-2.31
17 S 0.1158 0.6193 0.0326 x1  1 S 2.11, 2 Co 2.28
18 S 0.1193 0.1221 0.8037 x1  1 S 2.13, 2 Co 2.27-2.28
19 S 0.3815 0.6224 0.5322 x1  1 S 2.11, 2 Co 2.28-2.30
20 S 0.3825 0.1011 0.2946 x1  1 S 2.12, 2 Co 2.28-2.33
21 S 0.3902 0.1163 0.9641 x1  1 S 2.15, 3 Co 2.27-2.34
22 S 0.3919 0.6166 0.8722 x1  1 S 2.13, 3 Co 2.29-2.36
23 S 0.3991 0.1041 0.6279 x1  1 S 2.07, 1 Co 2.30
24 S 0.4008 0.6248 0.1999 x1  1 S 2.08, 1 Co 2.24
25 S 0.5963 0.3911 0.1274 x1  1 S 2.08, 2 Co 2.30-2.31
26 S 0.6011 0.9054 0.7080 x1  1 S 2.07
27 S 0.6142 0.3900 0.4685 x1  1 S 2.11, 2 Co 2.29-2.30
28 S 0.6145 0.8934 0.0380 x1  1 S 2.15, 3 Co 2.30-2.35
29 S 0.6156 0.9095 0.3718 x1  1 S 2.12, 2 Co 2.28-2.29
30 S 0.6197 0.3877 0.8035 x1  1 S 2.13, 2 Co 2.26-2.28
31 S 0.8816 0.8863 0.5323 x1  1 S 2.14, 2 Co 2.26-2.28
32 S 0.8824 0.9088 0.2059 x1  1 S 2.12, 2 Co 2.29-2.33
33 S 0.8905 0.3943 0.9642 x1  1 S 2.11, 3 Co 2.28-2.35
34 S 0.8904 0.8932 0.8722 x1  1 S 2.13, 3 Co 2.31-2.34
35 S 0.8994 0.4052 0.6283 x1  1 S 2.07, 1 Co 2.30
36 S 0.9008 0.3847 0.3006 x1  1 S 2.08, 1 Co 2.24

***

Compound: Co2CuS
Source: the Open Quantum Materials Database
Functional: GGA-PBE
Structure: optimized geometry

Summary:
Final energy: -5.310 eV per atom
Total magnetic moment: 0.00 μB per formula unit

Cell lengths 3.1023, 3.1023, 12.0423 Å; angles 90.00, 90.00, 120.00 degrees
Last column: nearest neighbours and their distance in Å.
Space group P6_3/mmc (No. 194)
Symmetry-distinct sites (fractional):
1 Co 0.3333 0.6667 0.0994 x4  3 S 2.15
2 Cu 0.3333 0.6667 0.7500 x2  6 Co 2.55
3 S 0.0000 0.0000 0.0000 x2  6 Co 2.15

***

Compound: Co2CuS6
Source: the Open Quantum Materials Database
Functional: GGA-PBE
Structure: optimized geometry

Summary:
Energy above the lowest structure with this stoichiometry: 1 meV per atom
Final energy: -5.002 eV per atom
Total magnetic moment: 0.97 μB per formula unit

Cell lengths 5.5666, 5.5694, 16.7283 Å; angles 89.89, 89.95, 89.89 degrees
Last column: nearest neighbours and their distance in Å.
Space group P1 (No. 1)
Symmetry-distinct sites (fractional):
1 Co 0.0000 0.0000 0.0000 x1  6 S 2.28-2.36
2 Co 0.0005 0.5017 0.1648 x1  6 S 2.26-2.33
3 Co 0.0028 0.5014 0.8363 x1  6 S 2.28-2.33
4 Co 0.0071 0.9990 0.6700 x1  6 S 2.26-2.37
5 Co 0.4987 0.5005 0.3344 x1  6 S 2.24-2.34
6 Co 0.5014 0.5020 0.0014 x1  6 S 2.29-2.33
7 Co 0.5045 0.0018 0.5051 x1  6 S 2.25-2.33
8 Co 0.5066 0.5069 0.6697 x1  6 S 2.27-2.37
9 Cu 0.0010 0.0018 0.3356 x1  6 S 2.39-2.44
10 Cu 0.0021 0.5009 0.5018 x1  6 S 2.39-2.45
11 Cu 0.4997 0.0015 0.1691 x1  6 S 2.38-2.46
12 Cu 0.5038 0.0038 0.8342 x1  6 S 2.40-2.45
13 S 0.0984 0.1190 0.8738 x1  1 S 2.11, 2 Co 2.28
14 S 0.0995 0.1210 0.1990 x1  1 S 2.08, 1 Co 2.26
15 S 0.1142 0.0986 0.5423 x1  1 S 2.08, 2 Co 2.28-2.32
16 S 0.1140 0.3902 0.7072 x1  1 S 2.13, 3 Co 2.33-2.37
17 S 0.1153 0.3899 0.0385 x1  1 S 2.18, 3 Co 2.29-2.36
18 S 0.1218 0.4042 0.3676 x1  1 S 2.09, 1 Co 2.24
19 S 0.3837 0.8854 0.0328 x1  1 S 2.12, 2 Co 2.29
20 S 0.3854 0.8876 0.7017 x1  1 S 2.13, 2 Co 2.26-2.29
21 S 0.3856 0.5977 0.8740 x1  1 S 2.12, 2 Co 2.29
22 S 0.3869 0.6014 0.2069 x1  1 S 2.13, 2 Co 2.29-2.33
23 S 0.4038 0.8870 0.3756 x1  1 S 2.09, 2 Co 2.32-2.33
24 S 0.4061 0.6175 0.5418 x1  1 S 2.12, 2 Co 2.29-2.30
25 S 0.5974 0.3848 0.4639 x1  1 S 2.12, 2 Co 2.30-2.33
26 S 0.6007 0.1205 0.3028 x1  1 S 2.09, 1 Co 2.25
27 S 0.6129 0.1152 0.6324 x1  1 S 2.13, 3 Co 2.30-2.37
28 S 0.6171 0.1171 0.9694 x1  1 S 2.12, 2 Co 2.29-2.30
29 S 0.6171 0.4060 0.7965 x1  1 S 2.12, 2 Co 2.28-2.31
30 S 0.6193 0.4085 0.1290 x1  1 S 2.13, 2 Co 2.27-2.29
31 S 0.8816 0.9022 0.4706 x1  1 S 2.08, 1 Co 2.25
32 S 0.8880 0.6004 0.2944 x1  1 S 2.09, 2 Co 2.32-2.34
33 S 0.8880 0.6159 0.9630 x1  1 S 2.18, 3 Co 2.30-2.33
34 S 0.8881 0.6171 0.6377 x1  1 S 2.13, 2 Co 2.27-2.29
35 S 0.9029 0.8886 0.1275 x1  1 S 2.08, 2 Co 2.29-2.31
36 S 0.9059 0.8874 0.7974 x1  1 S 2.11, 2 Co 2.29-2.31

***

Compound: SrCoCuS3
Source: the Open Quantum Materials Database
Functional: GGA-PBE
Structure: optimized geometry

Summary:
Energy above the lowest structure with this stoichiometry: 71 meV per atom
Final energy: -4.879 eV per atom
Total magnetic moment: 0.00 μB per formula unit

Cell lengths 3.7174, 12.3788, 9.2279 Å; angles 90.00, 90.00, 90.00 degrees
Last column: nearest neighbours and their distance in Å.
Space group Cmcm (No. 63)
Symmetry-distinct sites (fractional):
1 Sr 0.0000 0.2445 0.2500 x4  8 S 2.97-3.12, 2 Cu 3.21
2 Co 0.0000 0.0000 0.0000 x4  6 S 2.41-2.46
3 Cu 0.0000 0.4667 0.7500 x4  4 S 2.25-2.26
4 S 0.0000 0.0688 0.7500 x4  2 Cu 2.25, 2 Co 2.46
5 S 0.0000 0.3793 0.5350 x8  1 Cu 2.26, 2 Co 2.41

***

Compound: SrCoCuS3
Source: the Open Quantum Materials Database
Functional: GGA-PBE
Structure: optimized geometry

Summary:
Energy above the lowest structure with this stoichiometry: 0 meV per atom
Final energy: -4.950 eV per atom
Total magnetic moment: 0.00 μB per formula unit

Cell lengths 7.1147, 3.6840, 8.5138 Å; angles 90.00, 107.61, 90.00 degrees
Last column: nearest neighbours and their distance in Å.
Space group P2_1/m (No. 11)
Symmetry-distinct sites (fractional):
1 Sr 0.2287 0.2500 0.2687 x2  7 S 2.98-3.22, 1 Cu 3.26
2 Co 0.3348 0.7500 0.8556 x2  6 S 2.20-2.44
3 Cu 0.0856 0.2500 0.5979 x2  4 S 2.28-2.45, 2 Cu 2.53
4 S 0.1271 0.2500 0.8740 x2  1 Cu 2.28, 2 Co 2.40
5 S 0.2667 0.7500 0.5566 x2  3 Cu 2.33-2.45, 1 Co 2.44
6 S 0.4632 0.7500 0.1257 x2  3 Co 2.20-2.31

***

Compound: TlCoCuTeS2
Source: the Open Quantum Materials Database
Functional: GGA-PBE
Structure: optimized geometry

Summary:
Final energy: -4.281 eV per atom
Total magnetic moment: 0.01 μB per formula unit

Cell lengths 3.4335, 15.2623, 9.7877 Å; angles 90.00, 90.00, 90.00 degrees
Last column: nearest neighbours and their distance in Å.
Space group Cmcm (No. 63)
Symmetry-distinct sites (fractional):
1 Tl 0.0000 0.2287 0.2500 x4  2 Cu 3.04
2 Co 0.0000 0.0000 0.0000 x4  4 S 2.29
3 Cu 0.0000 0.4357 0.7500 x4  2 S 2.22
4 Te 0.0000 0.0704 0.7500 x4  2 Co 2.67, 2 Cu 2.68
5 S 0.0000 0.4024 0.5294 x8  1 Cu 2.22, 2 Co 2.29

***

Compound: TlCoCuSb
Source: the Open Quantum Materials Database
Functional: GGA-PBE
Structure: optimized geometry

Summary:
Energy above the lowest structure with this stoichiometry: 0 meV per atom
Final energy: -3.878 eV per atom
Total magnetic moment: 0.70 μB per formula unit

Cell lengths 6.5894, 6.5894, 6.5894 Å; angles 90.00, 90.00, 90.00 degrees
Last column: nearest neighbours and their distance in Å.
Space group F-43m (No. 216)
Symmetry-distinct sites (fractional):
1 Tl 0.0000 0.0000 0.0000 x4  4 Cu 2.85, 4 Co 2.85
2 Co 0.2500 0.2500 0.2500 x4  4 Tl 2.85, 4 Sb 2.85
3 Cu 0.2500 0.2500 0.7500 x4  4 Tl 2.85, 4 Sb 2.85
4 Sb 0.0000 0.0000 0.5000 x4  4 Co 2.85, 4 Cu 2.85

***

Compound: CoCuSbW
Source: the Open Quantum Materials Database
Functional: GGA-PBE
Structure: optimized geometry

Summary:
Energy above the lowest structure with this stoichiometry: 10 meV per atom
Final energy: -6.433 eV per atom
Total magnetic moment: 1.15 μB per formula unit

Cell lengths 6.2381, 6.2381, 6.2381 Å; angles 90.00, 90.00, 90.00 degrees
Last column: nearest neighbours and their distance in Å.
Space group F-43m (No. 216)
Symmetry-distinct sites (fractional):
1 Co 0.0000 0.0000 0.0000 x4  4 W 2.70, 4 Cu 2.70
2 Cu 0.2500 0.2500 0.7500 x4  4 Co 2.70, 4 Sb 2.70
3 Sb 0.0000 0.0000 0.5000 x4  4 Cu 2.70, 4 W 2.70
4 W 0.2500 0.2500 0.2500 x4  4 Co 2.70, 4 Sb 2.70

***

Compound: CoCuSbW
Source: the Open Quantum Materials Database
Functional: GGA-PBE
Structure: optimized geometry

Summary:
Energy above the lowest structure with this stoichiometry: 0 meV per atom
Final energy: -6.442 eV per atom
Total magnetic moment: 0.89 μB per formula unit

Cell lengths 6.2062, 6.2062, 6.2062 Å; angles 90.00, 90.00, 90.00 degrees
Last column: nearest neighbours and their distance in Å.
Space group F-43m (No. 216)
Symmetry-distinct sites (fractional):
1 Co 0.0000 0.0000 0.0000 x4  4 Sb 2.69, 4 Cu 2.69
2 Cu 0.2500 0.2500 0.2500 x4  4 W 2.69, 4 Co 2.69
3 Sb 0.2500 0.2500 0.7500 x4  4 W 2.69, 4 Co 2.69
4 W 0.0000 0.0000 0.5000 x4  4 Sb 2.69, 4 Cu 2.69

***

Compound: CoCuSbW
Source: the Open Quantum Materials Database
Functional: GGA-PBE
Structure: optimized geometry

Summary:
Energy above the lowest structure with this stoichiometry: 57 meV per atom
Final energy: -6.386 eV per atom
Total magnetic moment: 1.29 μB per formula unit

Cell lengths 6.1771, 6.1771, 6.1771 Å; angles 90.00, 90.00, 90.00 degrees
Last column: nearest neighbours and their distance in Å.
Space group F-43m (No. 216)
Symmetry-distinct sites (fractional):
1 Co 0.0000 0.0000 0.0000 x4  4 Sb 2.67, 4 W 2.67
2 Cu 0.0000 0.0000 0.5000 x4  4 W 2.67, 4 Sb 2.67
3 Sb 0.2500 0.2500 0.7500 x4  4 Co 2.67, 4 Cu 2.67
4 W 0.2500 0.2500 0.2500 x4  4 Co 2.67, 4 Cu 2.67

***

Among the records above, which one has the lowest final energy?
number 10